No. 1
First-principles (PBE) data for crystalline ReSi2Ni at its relaxed geometry, as listed in Alexandria via LeMat-Bulk.

* DOS at the Fermi energy: 1.0807 states/eV per atom
* formation energy (no corrections): -0.3006 eV/atom
* space group: P4mm (99)
* V: 51.3 Å³/f.u.
* magnetization: 0.00 μB/f.u.

a b c (Å): 3.1719 3.1719 5.0998
angles (deg): 90.00 90.00 90.00
Positions (direct):
Ni  0.0000  0.0000  0.4496
Re  0.5000  0.5000  0.7851
Si  0.5000  0.5000  0.2755
Si  0.0000  0.0000  0.9898

=====

No. 2
First-principles (PBE) data for crystalline SrMgGe2Ir at its relaxed geometry, as listed in Alexandria via LeMat-Bulk.

* DOS at the Fermi energy: 0.7070 states/eV per atom
* ΔE_f: -468 meV/atom
* space group: I-4m2 (119)
* V: 103.2 Å³/f.u.
* magnetization: 0.00 μB/f.u.

a b c (Å): 4.2555 4.2555 6.4424
angles (deg): 109.29 109.29 90.00
Positions (direct):
Ge  0.3811  0.3811  0.7623
Ge  0.6189  0.6189  0.2377
Sr  0.0000  0.0000  0.0000
Ir  0.7500  0.2500  0.5000
Mg  0.2500  0.7500  0.5000

=====

No. 3
First-principles (PBE) data for crystalline NaGe3Br at its relaxed geometry, as listed in Alexandria via LeMat-Bulk.

* DOS at the Fermi energy: 2.3086 states/eV per atom
* formation energy (no corrections): 0.9481 eV/atom
* space group: Pm-3m (221)
* V: 143.4 Å³/f.u.
* magnetization: 0.00 μB/f.u.
* offset from the most stable computed form: 256 meV per atom

a b c (Å): 5.2336 5.2336 5.2336
angles (deg): 90.00 90.00 90.00
Positions (direct):
Ge  0.0000  0.5000  0.0000
Ge  0.5000  0.0000  0.0000
Ge  0.0000  0.0000  0.5000
Na  0.0000  0.0000  0.0000
Br  0.5000  0.5000  0.5000

=====

No. 4
First-principles (PBE) data for crystalline Ba2ZnNi at its relaxed geometry, as listed in Alexandria via LeMat-Bulk.

* DOS at the Fermi energy: 0.9290 states/eV per atom
* ΔE_f: -130 meV/atom
* space group: Cm (8)
* V: 144.1 Å³/f.u.
* magnetization: 0.00 μB/f.u.

a b c (Å): 4.4419 4.4419 8.8126
angles (deg): 75.50 75.50 59.96
Positions (direct):
Ni  0.7919  0.7919  0.6242
Ba  0.2089  0.2089  0.3714
Ba  0.0411  0.0411  0.8790
Zn  0.4582  0.4582  0.6254

=====

No. 5
First-principles (PBE) data for crystalline LiThGe at its relaxed geometry, as listed in Alexandria via LeMat-Bulk.

* DOS at the Fermi energy: 0.8463 states/eV per atom
* ΔE_f: -129 meV/atom
* space group: I4mm (107)
* V: 70.0 Å³/f.u.
* magnetization: 0.00 μB/f.u.

a b c (Å): 4.0789 4.0789 5.1029
angles (deg): 113.56 113.56 90.00
Positions (direct):
Ge  0.6338  0.6338  0.2675
Li  0.9388  0.9388  0.8775
Th  0.2775  0.2775  0.5550

=====

No. 6
First-principles (PBE) data for crystalline Ac5CoHg2 at its relaxed geometry, as listed in Alexandria via LeMat-Bulk.

* DOS at the Fermi energy: 1.1569 states/eV per atom
* ΔE_f: -270 meV/atom
* space group: Pbam (55)
* V: 283.1 Å³/f.u.
* magnetization: 0.00 μB/f.u.

a b c (Å): 4.2303 10.0965 13.2561
angles (deg): 90.00 90.00 90.00
Positions (direct):
Ac  0.0000  0.3710  0.3002
Ac  0.5000  0.8304  0.9351
Ac  0.0000  0.0000  0.5000
Ac  0.5000  0.1696  0.0649
Ac  0.5000  0.6696  0.4351
Ac  0.5000  0.3304  0.5649
Ac  0.0000  0.6290  0.6998
Ac  0.0000  0.1290  0.8002
Ac  0.0000  0.5000  0.0000
Ac  0.0000  0.8710  0.1998
Co  0.0000  0.5000  0.5000
Co  0.0000  0.0000  0.0000
Hg  0.5000  0.9031  0.6776
Hg  0.5000  0.0969  0.3224
Hg  0.5000  0.4031  0.8224
Hg  0.5000  0.5969  0.1776

=====

No. 7
First-principles (PBE) data for crystalline BeHgBr at its relaxed geometry, as listed in Alexandria via LeMat-Bulk.

* DOS at the Fermi energy: 0.3974 states/eV per atom
* formation energy (no corrections): 0.0670 eV/atom
* space group: Fmm2 (42)
* V: 78.5 Å³/f.u.
* magnetization: 0.00 μB/f.u.
* offset from the most stable computed form: 76 meV per atom

a b c (Å): 7.5794 6.9588 3.8362
angles (deg): 83.88 65.91 30.22
Positions (direct):
Hg  0.3738  0.3738  0.6262
Be  0.0081  0.0081  0.9919
Br  0.6181  0.6181  0.3819

=====

No. 8
First-principles (PBE) data for crystalline Li3B4C4 at its relaxed geometry, as listed in Alexandria via LeMat-Bulk.

* DOS at the Fermi energy: 0.1634 states/eV per atom
* ΔE_f: -197 meV/atom
* space group: P-6m2 (187)
* V: 89.0 Å³/f.u.
* magnetization: 0.00 μB/f.u.
* offset from the most stable computed form: 44 meV per atom

a b c (Å): 2.7328 2.7328 27.5307
angles (deg): 90.00 90.00 120.00
Positions (direct):
B  0.6667  0.3333  0.5625
B  0.6667  0.3333  0.3058
B  0.6667  0.3333  0.8192
B  0.6667  0.3333  0.0625
B  0.3333  0.6667  0.9503
B  0.3333  0.6667  0.1747
B  0.3333  0.6667  0.6906
B  0.3333  0.6667  0.4344
C  0.6667  0.3333  0.9478
C  0.6667  0.3333  0.4344
C  0.6667  0.3333  0.6906
C  0.3333  0.6667  0.0625
C  0.3333  0.6667  0.5625
C  0.3333  0.6667  0.8189
C  0.3333  0.6667  0.3061
C  0.6667  0.3333  0.1772
Li  0.0000  0.0000  0.8854
Li  0.0000  0.0000  0.7550
Li  0.0000  0.0000  0.6266
Li  0.0000  0.0000  0.4984
Li  0.0000  0.0000  0.2396
Li  0.0000  0.0000  0.3700

=====

No. 9
First-principles (PBE) data for crystalline Eu2NbInO6 at its relaxed geometry, as listed in Alexandria via LeMat-Bulk.

* formation energy (no corrections): -2.4618 eV/atom
* space group: Fm-3m (225)
* V: 141.2 Å³/f.u.
* magnetization: 14.00 μB/f.u.

a b c (Å): 5.8443 5.8443 5.8443
angles (deg): 60.00 60.00 60.00
Positions (direct):
Eu  0.2500  0.2500  0.2500
Eu  0.7500  0.7500  0.7500
O  0.7423  0.2577  0.7423
O  0.2577  0.7423  0.2577
O  0.7423  0.2577  0.2577
O  0.7423  0.7423  0.2577
O  0.2577  0.2577  0.7423
O  0.2577  0.7423  0.7423
In  0.0000  0.0000  0.0000
Nb  0.5000  0.5000  0.5000

=====

No. 10
First-principles (PBE) data for crystalline RbTi2NbO8 at its relaxed geometry, as listed in Alexandria via LeMat-Bulk.

* DOS at the Fermi energy: 0.6169 states/eV per atom
* formation energy (no corrections): -2.2782 eV/atom
* space group: P-3 (147)
* V: 228.9 Å³/f.u.
* magnetization: 2.02 μB/f.u.

a b c (Å): 5.8258 5.8258 7.7888
angles (deg): 90.00 90.00 120.00
Positions (direct):
O  0.6801  0.8411  0.6512
O  0.6667  0.3333  0.0472
O  0.8390  0.6801  0.3488
O  0.3333  0.6667  0.9528
O  0.1610  0.3199  0.6512
O  0.3199  0.1589  0.3488
O  0.8411  0.1610  0.3488
O  0.1589  0.8390  0.6512
Nb  0.0000  0.0000  0.5000
Ti  0.6667  0.3333  0.2760
Ti  0.3333  0.6667  0.7240
Rb  0.0000  0.0000  0.0000

=====

No. 11
First-principles (PBE) data for crystalline ErSc2Se at its relaxed geometry, as listed in Alexandria via LeMat-Bulk.

* DOS at the Fermi energy: 1.5362 states/eV per atom
* formation energy (no corrections): -0.4814 eV/atom
* space group: R-3m (166)
* V: 104.9 Å³/f.u.
* magnetization: 0.06 μB/f.u.
* offset from the most stable computed form: 319 meV per atom

a b c (Å): 3.5426 3.5426 9.8688
angles (deg): 79.66 79.66 60.00
Positions (direct):
Sc  0.1092  0.1092  0.6724
Sc  0.8908  0.8908  0.3276
Se  0.5000  0.5000  0.5000
Er  0.0000  0.0000  0.0000

=====

No. 12
First-principles (PBE) data for crystalline AcTbNiIr at its relaxed geometry, as listed in Alexandria via LeMat-Bulk.

* DOS at the Fermi energy: 0.6837 states/eV per atom
* ΔE_f: -409 meV/atom
* space group: F-43m (216)
* V: 90.7 Å³/f.u.
* magnetization: 0.00 μB/f.u.

a b c (Å): 5.0424 5.0424 5.0424
angles (deg): 60.00 60.00 60.00
Positions (direct):
Ir  0.7500  0.7500  0.7500
Tb  0.0000  0.0000  0.0000
Ni  0.2500  0.2500  0.2500
Ac  0.5000  0.5000  0.5000

=====

No. 13
First-principles (PBE) data for crystalline KCu3Re at its relaxed geometry, as listed in Alexandria via LeMat-Bulk.

* DOS at the Fermi energy: 0.6554 states/eV per atom
* ΔE_f: 2468 meV/atom
* space group: Pm-3m (221)
* V: 90.8 Å³/f.u.
* magnetization: 0.00 μB/f.u.
* offset from the most stable computed form: 1372 meV per atom

a b c (Å): 4.4951 4.4951 4.4951
angles (deg): 90.00 90.00 90.00
Positions (direct):
Cu  0.0000  0.5000  0.0000
Cu  0.5000  0.0000  0.0000
Cu  0.0000  0.0000  0.5000
Re  0.5000  0.5000  0.5000
K  0.0000  0.0000  0.0000

=====

No. 14
First-principles (PBE) data for crystalline TaNb7W3 at its relaxed geometry, as listed in Alexandria via LeMat-Bulk.

* DOS at the Fermi energy: 1.0773 states/eV per atom
* ΔE_f: 498 meV/atom
* space group: P3m1 (156)
* V: 208.5 Å³/f.u.
* magnetization: 0.00 μB/f.u.

a b c (Å): 6.4806 6.0957 6.0957
angles (deg): 120.00 90.00 90.00
Positions (direct):
Nb  0.0940  0.1615  0.8385
Nb  0.0940  0.6771  0.8385
Nb  0.0940  0.1615  0.3229
Nb  0.4718  0.8385  0.1615
Nb  0.1218  0.6667  0.3333
Nb  0.4718  0.3229  0.1615
Nb  0.4718  0.8385  0.6771
W  0.7832  0.0000  0.5000
W  0.7832  0.5000  0.5000
W  0.7832  0.5000  0.0000
Ta  0.4461  0.3333  0.6667

=====

No. 15
First-principles (PBE) data for crystalline ScS5F at its relaxed geometry, as listed in Alexandria via LeMat-Bulk.

* formation energy (no corrections): -0.8836 eV/atom
* space group: C2 (5)
* V: 178.4 Å³/f.u.
* magnetization: 0.00 μB/f.u.

a b c (Å): 5.1003 4.1930 9.0685
angles (deg): 99.38 103.02 104.02
Positions (direct):
S  0.2012  0.4652  0.7399
S  0.2747  0.0021  0.2404
S  0.5387  0.2747  0.7399
S  0.0460  0.5460  0.0920
S  0.9656  0.2383  0.2404
Sc  0.7672  0.2672  0.5345
F  0.7372  0.7372  0.4744

=====

No. 16
First-principles (PBE) data for crystalline LaCe5Se6 at its relaxed geometry, as listed in Alexandria via LeMat-Bulk.

* DOS at the Fermi energy: 2.6275 states/eV per atom
* formation energy (no corrections): -1.8459 eV/atom
* space group: C2/m (12)
* V: 319.1 Å³/f.u.
* magnetization: 4.57 μB/f.u.

a b c (Å): 7.3131 7.3131 7.3121
angles (deg): 99.60 99.60 120.06
Positions (direct):
Se  0.4217  0.0844  0.2529
Se  0.2536  0.2536  0.7487
Se  0.5783  0.9156  0.7471
Se  0.7464  0.7464  0.2513
Se  0.0844  0.4217  0.2529
Se  0.9156  0.5783  0.7471
La  0.0000  0.0000  0.0000
Ce  0.3332  0.6668  0.0000
Ce  0.5000  0.5000  0.5000
Ce  0.1651  0.8349  0.5000
Ce  0.6668  0.3332  0.0000
Ce  0.8349  0.1651  0.5000

=====

No. 17
First-principles (PBE) data for crystalline Rb2TlC at its relaxed geometry, as listed in Alexandria via LeMat-Bulk.

* DOS at the Fermi energy: 0.6457 states/eV per atom
* ΔE_f: 1350 meV/atom
* space group: Fm-3m (225)
* V: 144.5 Å³/f.u.
* magnetization: 1.00 μB/f.u.
* offset from the most stable computed form: 479 meV per atom

a b c (Å): 5.8901 5.8901 5.8901
angles (deg): 60.00 60.00 60.00
Positions (direct):
Rb  0.2500  0.2500  0.2500
Rb  0.7500  0.7500  0.7500
C  0.0000  0.0000  0.0000
Tl  0.5000  0.5000  0.5000

=====

No. 18
First-principles (PBE) data for crystalline Os2AuCl at its relaxed geometry, as listed in Alexandria via LeMat-Bulk.

* DOS at the Fermi energy: 0.8910 states/eV per atom
* formation energy (no corrections): 0.4352 eV/atom
* space group: P4mm (99)
* V: 71.0 Å³/f.u.
* magnetization: 0.00 μB/f.u.
* offset from the most stable computed form: 108 meV per atom

a b c (Å): 2.8724 2.8724 8.6039
angles (deg): 90.00 90.00 90.00
Positions (direct):
Os  0.5000  0.5000  0.2103
Os  0.0000  0.0000  0.0248
Cl  0.5000  0.5000  0.8142
Au  0.0000  0.0000  0.4508

=====

No. 19
First-principles (PBE) data for crystalline Sm6As3P2Se at its relaxed geometry, as listed in Alexandria via LeMat-Bulk.

* DOS at the Fermi energy: 0.1596 states/eV per atom
* formation energy (no corrections): -1.6325 eV/atom
* space group: C2/m (12)
* V: 308.5 Å³/f.u.
* magnetization: 0.00 μB/f.u.

a b c (Å): 4.1719 8.3576 9.3210
angles (deg): 102.80 102.93 90.00
Positions (direct):
As  0.5000  0.5000  0.0000
As  0.1649  0.8335  0.3299
As  0.8351  0.1665  0.6701
Sm  0.0023  0.2579  0.0046
Sm  0.3304  0.9097  0.6608
Sm  0.6687  0.5794  0.3374
Sm  0.6696  0.0903  0.3392
Sm  0.3313  0.4206  0.6626
Sm  0.9977  0.7421  0.9954
P  0.8335  0.6674  0.6670
P  0.1665  0.3326  0.3330
Se  0.5000  0.0000  0.0000

=====

No. 20
First-principles (PBE) data for crystalline RuAu2N at its relaxed geometry, as listed in Alexandria via LeMat-Bulk.

* DOS at the Fermi energy: 0.6687 states/eV per atom
* formation energy (no corrections): 0.8611 eV/atom
* space group: I-42d (122)
* V: 69.0 Å³/f.u.
* magnetization: 0.00 μB/f.u.

a b c (Å): 8.5947 8.5947 6.3576
angles (deg): 47.47 47.47 90.00
Positions (direct):
Ru  0.7500  0.2500  0.5000
Ru  0.0000  0.0000  0.0000
Au  0.5089  0.1250  0.2500
Au  0.8750  0.7589  0.7500
Au  0.2411  0.6250  0.2500
Au  0.3750  0.4911  0.7500
N  0.5000  0.5000  0.0000
N  0.2500  0.7500  0.5000

=====

No. 21
First-principles (PBE) data for crystalline MgMoOs at its relaxed geometry, as listed in Alexandria via LeMat-Bulk.

* DOS at the Fermi energy: 0.5538 states/eV per atom
* ΔE_f: 468 meV/atom
* space group: F-43m (216)
* V: 55.1 Å³/f.u.
* magnetization: 0.00 μB/f.u.
* offset from the most stable computed form: 390 meV per atom

a b c (Å): 4.2722 4.2722 4.2722
angles (deg): 60.00 60.00 60.00
Positions (direct):
Mg  0.0000  0.0000  0.0000
Os  0.7500  0.7500  0.7500
Mo  0.5000  0.5000  0.5000

=====

No. 22
First-principles (PBE) data for crystalline TbEr4TlS8 at its relaxed geometry, as listed in Alexandria via LeMat-Bulk.

* formation energy (no corrections): -1.8124 eV/atom
* space group: R3m (160)
* V: 385.0 Å³/f.u.
* magnetization: 0.00 μB/f.u.

a b c (Å): 8.1383 8.1383 8.1941
angles (deg): 60.23 60.23 60.00
Positions (direct):
S  0.2356  0.2356  0.7295
S  0.7574  0.7574  0.7277
S  0.2356  0.7992  0.7295
S  0.2325  0.2325  0.3026
S  0.2287  0.7559  0.2594
S  0.7992  0.2356  0.7295
S  0.7559  0.2287  0.2594
S  0.7559  0.7559  0.2594
Tl  0.3734  0.3734  0.8798
Er  0.0040  0.4878  0.5041
Er  0.6254  0.6254  0.1237
Er  0.4878  0.0040  0.5041
Er  0.0040  0.0040  0.5041
Tb  0.0044  0.0044  0.9869

=====

No. 23
First-principles (PBE) data for crystalline YRe2Ru2 at its relaxed geometry, as listed in Alexandria via LeMat-Bulk.

* DOS at the Fermi energy: 1.2389 states/eV per atom
* ΔE_f: 106 meV/atom
* space group: P4/mbm (127)
* V: 83.6 Å³/f.u.
* magnetization: 0.00 μB/f.u.
* offset from the most stable computed form: 69 meV per atom

a b c (Å): 7.7320 7.7320 2.7952
angles (deg): 90.00 90.00 90.00
Positions (direct):
Ru  0.8763  0.6237  0.0000
Ru  0.1237  0.3763  0.0000
Ru  0.6237  0.1237  0.0000
Ru  0.3763  0.8763  0.0000
Re  0.8307  0.3307  0.5000
Re  0.1693  0.6693  0.5000
Re  0.3307  0.1693  0.5000
Re  0.6693  0.8307  0.5000
Y  0.0000  0.0000  0.0000
Y  0.5000  0.5000  0.0000

=====

No. 24
First-principles (PBE) data for crystalline TbCe4O10 at its relaxed geometry, as listed in Alexandria via LeMat-Bulk.

* DOS at the Fermi energy: 0.8424 states/eV per atom
* formation energy (no corrections): -3.3054 eV/atom
* space group: R-3m (166)
* V: 203.9 Å³/f.u.
* magnetization: 1.10 μB/f.u.

a b c (Å): 3.8658 3.8658 15.9095
angles (deg): 83.02 83.02 60.00
Positions (direct):
O  0.3505  0.3505  0.9485
O  0.6495  0.6495  0.0515
O  0.9494  0.9494  0.1518
O  0.5499  0.5499  0.3502
O  0.2499  0.2499  0.2502
O  0.8500  0.8500  0.4500
O  0.7501  0.7501  0.7498
O  0.4501  0.4501  0.6498
O  0.1500  0.1500  0.5500
O  0.0506  0.0506  0.8482
Ce  0.7999  0.7999  0.6002
Ce  0.2001  0.2001  0.3998
Ce  0.3997  0.3997  0.8009
Ce  0.6003  0.6003  0.1991
Tb  0.0000  0.0000  0.0000